This record from the Alexandria database describes Ni2HRuW after structural relaxation. The functional is PBE.

Lattice parameters (Å, degrees): 3.6986 3.6986 3.9261 90.00 90.00 90.00
Space group P4/mmm (No. 123)
Inequivalent atoms, fractional coordinates:
Ni 0.0000 0.5000 0.0000 (multiplicity 2)
H 0.0000 0.0000 0.0000 (multiplicity 1)
Ru 0.0000 0.0000 0.5000 (multiplicity 1)
W 0.5000 0.5000 0.5000 (multiplicity 1)

Computed properties:
DFT total energy: -0.54297 Ry per atom